The following is a DFT calculation (PBE-GGA) of an optimized crystal structure of NaNb2Al.

Lattice parameters (Å, degrees): 4.6723 4.6723 4.6723 60.00 60.00 60.00
With the nearest neighbours (Å) after each atom.
Positions (direct):
Na (0.0000, 0.0000, 0.0000)  8 Nb 2.86
Nb (0.2500, 0.2500, 0.2500)  4 Al 2.86, 4 Na 2.86
Nb (0.7500, 0.7500, 0.7500)  4 Al 2.86, 4 Na 2.86
Al (0.5000, 0.5000, 0.5000)  8 Nb 2.86

Results
Energy above the most stable polymorph in this dataset = 0.0 meV/atom
Energy of formation = 0.5878 eV per atom

The following is a DFT calculation (PBE-GGA) of an optimized crystal structure of Ba2PrZnTe5.

Lattice parameters (Å, degrees): 10.4070 10.4070 14.1918 90.00 90.00 154.42
With the nearest neighbours (Å) after each atom.
Positions (direct):
Ba (0.1194, 0.8806, 0.5000)  7 Te 3.47-3.70
Ba (0.1219, 0.8781, 0.1394)  7 Te 3.49-3.82
Ba (0.8781, 0.1219, 0.6394)  7 Te 3.49-3.82
Ba (0.8806, 0.1194, 0.0000)  7 Te 3.47-3.70
Pr (0.1999, 0.8001, 0.8286)  6 Te 3.13-3.27
Pr (0.8001, 0.1999, 0.3286)  6 Te 3.13-3.27
Zn (0.4379, 0.5621, 0.2370)  4 Te 2.65-2.78
Zn (0.5621, 0.4379, 0.7370)  4 Te 2.65-2.78
Te (0.0390, 0.9610, 0.8359)  2 Zn 2.74
Te (0.3012, 0.6988, 0.4819)  2 Pr 3.17
Te (0.3089, 0.6911, 0.1706)  1 Zn 2.78
Te (0.3543, 0.6457, 0.8210)  1 Pr 3.13, 4 Ba 3.47-3.49
Te (0.4987, 0.5013, 0.5737)  1 Zn 2.65
Te (0.5013, 0.4987, 0.0737)  1 Zn 2.65
Te (0.6457, 0.3543, 0.3210)  1 Pr 3.13, 4 Ba 3.47-3.49
Te (0.6911, 0.3089, 0.6706)  1 Zn 2.78
Te (0.6988, 0.3012, 0.9819)  2 Pr 3.17
Te (0.9610, 0.0390, 0.3359)  2 Zn 2.74

The following is a DFT calculation (PBE-GGA) of an optimized crystal structure of RbOsSN2.

Lattice parameters (Å, degrees): 4.1086 4.1086 6.1680 90.00 90.00 90.00
With the nearest neighbours (Å) after each atom.
Positions (direct):
Rb (0.0000, 0.0000, 0.0000)  4 N 2.05
Os (0.5000, 0.5000, 0.5000)  4 S 2.91
S (0.0000, 0.0000, 0.5000)  4 Os 2.91, 2 Rb 3.08
N (0.0000, 0.5000, 0.0000)  2 Rb 2.05
N (0.5000, 0.0000, 0.0000)  2 Rb 2.05

Results
Energy above the most stable polymorph in this dataset = 2921.8 meV/atom

The following is a DFT calculation (PBE-GGA) of an optimized crystal structure of AcPIr6Pt.

Lattice parameters (Å, degrees): 8.1177 8.1177 8.1177 136.82 109.76 86.14
With the nearest neighbours (Å) after each atom.
Positions (direct):
Ac (0.4355, 0.1855, 0.2500)  6 Ir 2.95-3.03
Ac (0.5645, 0.8145, 0.7500)  6 Ir 2.95-3.03
P (0.0000, 0.5000, 0.5000)  6 Ir 2.22-2.45
P (0.5000, 0.5000, 0.0000)  6 Ir 2.22-2.45
Ir (0.1107, 0.3623, 0.2149)  1 P 2.22
Ir (0.1107, 0.8958, 0.7484)  1 P 2.22
Ir (0.1803, 0.9303, 0.2500)  2 Pt 2.61, 4 Ir 2.67
Ir (0.3120, 0.5620, 0.7500)  2 P 2.45
Ir (0.3526, 0.1042, 0.7149)  1 P 2.22
Ir (0.3526, 0.6377, 0.2484)  1 P 2.22
Ir (0.6474, 0.3623, 0.7516)  1 P 2.22
Ir (0.6474, 0.8958, 0.2851)  1 P 2.22
Ir (0.6880, 0.4380, 0.2500)  2 P 2.45
Ir (0.8197, 0.0697, 0.7500)  2 Pt 2.61, 4 Ir 2.67
Ir (0.8893, 0.1042, 0.2516)  1 P 2.22
Ir (0.8893, 0.6377, 0.7851)  1 P 2.22
Pt (0.0000, 0.0000, 0.5000)  6 Ir 2.60-2.61
Pt (0.0000, 0.5000, 0.0000)  6 Ir 2.60-2.61

Results
Energy of formation = 0.2376 eV per atom

no.,E (eV/atom),DOS(E_F) (states/eV/atom)
1,-5.71,0.909
2,-4.09,0.642
3,-3.15,0.843
4,-7.40,1.091